Density functional theory data (PBEsol) for a geometry-optimized Al2ZnFe structure.

The space group is P4/mmm (No. 123) and the conventional cell measures 2.940, 2.940 and 5.957 Å, with angles of 90.00, 90.00 and 90.00 degrees. The distinct sites, in fractional coordinates, are Al at (0.000, 0.000, 0.220), Zn at (0.500, 0.500, 0.500) and Fe at (0.500, 0.500, 0.000).

The total magnetic moment comes out at 0.00 μB per atom. The formation energy is -0.206 eV/atom.

Density functional theory data (PBEsol) for a geometry-optimized Al2ZnFe structure.

The space group is Pmm2 (No. 25) and the conventional cell measures 2.666, 4.332 and 4.532 Å, with angles of 90.00, 90.00 and 90.00 degrees. The distinct sites, in fractional coordinates, are Al at (0.000, 0.000, 0.000), Al at (0.000, 0.500, 0.367), Zn at (0.500, 0.000, 0.518) and Fe at (0.500, 0.500, 0.862).

The total magnetic moment comes out at 0.31 μB per atom. The formation energy is -0.137 eV/atom.

Density functional theory data (PBEsol) for a geometry-optimized ZrAl3Fe structure.

The space group is Pm-3m (No. 221) and the conventional cell measures 4.375, 4.375 and 4.375 Å, with angles of 90.00, 90.00 and 90.00 degrees. The distinct sites, in fractional coordinates, are Zr at (0.000, 0.000, 0.000), Al at (0.000, 0.500, 0.500) and Fe at (0.500, 0.500, 0.500).

The total magnetic moment comes out at 0.11 μB per atom. The formation energy is -0.024 eV/atom.

Density functional theory data (PBEsol) for a geometry-optimized Zr2AlFe structure.

The space group is P4/mmm (No. 123) and the conventional cell measures 3.213, 3.213 and 6.674 Å, with angles of 90.00, 90.00 and 90.00 degrees. The distinct sites, in fractional coordinates, are Zr at (0.000, 0.000, 0.226), Al at (0.500, 0.500, 0.500) and Fe at (0.500, 0.500, 0.000).

The total magnetic moment comes out at 0.21 μB per atom. The formation energy is -0.284 eV/atom.